Material: PuTi2Ga
Method: DFT, PBE
State: relaxed

```
PuTi2Ga
1.0
2.365 1.365 3.856
-2.365 1.365 3.856
0.000 -2.731 3.856
Pu Ti Ga
1 2 1
direct
0.000 0.000 0.000 Pu
0.501 0.501 0.501 Ti
0.752 0.752 0.752 Ti
0.250 0.250 0.250 Ga
```

Output
* volume: 75 Å³ per cell
* total energy: -8.33 eV per atom
* N(E_F): 6.35 states/eV/f.u.
* energy relative to the elements: -0.039 eV per atom
* excess energy over the best structure of this formula in the dataset: 112 meV/atom
* space group: R3m (160)
* magnetization: 5.006 μB/cell